Density functional theory data (PBE with a Hubbard U) for an optimized crystal structure of PaCrSn2O8.

Magnetization in μB per cell: 2.96
Mass density in kg/m³: 6437
Energy in eV/cell: -87.65

Cell lengths 6.0128, 6.0128, 6.0128 Å; angles 110.12, 110.12, 108.19 degrees
Element x y z (fractional)
Pa: 0.0000 0.0000 0.0000
Cr: 0.7500 0.2500 0.5000
Sn: 0.2500 0.7500 0.5000
Sn: 0.5000 0.5000 0.0000
O: 0.0462 0.3562 0.3100
O: 0.0462 0.7361 0.6900
O: 0.0944 0.2924 0.8021
O: 0.2639 0.9538 0.3100
O: 0.4903 0.2924 0.1979
O: 0.6438 0.9538 0.6900
O: 0.7076 0.5097 0.8021
O: 0.7076 0.9056 0.1979